Compound: HoScPt
Source: the Alexandria database
Functional: PBE
Structure: relaxed Values from VASP.

```
&SYSTEM
  ibrav = 0, nat = 3, ntyp = 3
/
ATOMIC_SPECIES
Sc 44.96 Sc.upf
Pt 195.08 Pt.upf
Ho 164.93 Ho.upf
CELL_PARAMETERS angstrom
-0.154 2.366 -4.068
-3.325 -1.000 -3.181
-3.481 3.065 -0.810
ATOMIC_POSITIONS angstrom
Sc 0.000 0.000 0.000
Pt -1.740 1.108 -2.015
Ho -3.480 2.216 -4.029
```

Final energy   -6.5098 eV per atom
E_form   -0.86 eV/atom
Space-group type   F-43m